Compound: DyHoAgPd
Source: Alexandria
Functional: PBE
Structure: optimized geometry

Computed properties:
Final energy: -4.9024 eV/atom
Magnetic moment: 0.000 μB/f.u.
Formation enthalpy at 0 K: -596 meV per atom
DOS at the Fermi energy: 0.80 states/eV/atom
Excess energy over the best structure of this formula in the dataset: 11 meV/atom

POSCAR file:
```
DyHoAgPd
1.0
-2.6711 -2.3215 -3.5840
2.1963 -1.2762 -4.3493
0.8756 -4.8473 -1.0520
Pd Ho Ag Dy
1 1 1 1
Cartesian
0.3006 -6.3338 -6.7390
0.0000 0.0000 0.0000
0.1002 -2.1113 -2.2463
0.2004 -4.2225 -4.4926
```

***

Compound: PmDyHoAg
Source: Alexandria
Functional: PBE
Structure: optimized geometry

Computed properties:
Final energy: -4.0961 eV/atom
Magnetic moment: 0.001 μB/f.u.
Formation enthalpy at 0 K: 99 meV per atom
DOS at the Fermi energy: 1.51 states/eV/atom
Excess energy over the best structure of this formula in the dataset: 233 meV/atom

POSCAR file:
```
PmDyHoAg
1.0
-2.3403 4.3756 2.1404
-4.0614 -0.5575 3.5211
0.7622 1.1938 5.2152
Pm Ho Ag Dy
1 1 1 1
Cartesian
0.0000 0.0000 0.0000
-1.4099 1.2530 2.7192
-2.8198 2.5059 5.4383
-4.2297 3.7589 8.1575
```

***

Compound: PmDyHoAg
Source: Alexandria
Functional: PBE
Structure: optimized geometry

Computed properties:
Final energy: -4.3288 eV/atom
Magnetic moment: 0.000 μB/f.u.
Formation enthalpy at 0 K: -133 meV per atom
DOS at the Fermi energy: 1.44 states/eV/atom
Excess energy over the best structure of this formula in the dataset: 0 meV/atom

POSCAR file:
```
PmDyHoAg
1.0
3.6223 0.0000 0.0000
0.0000 3.6223 0.0000
0.0000 0.0000 8.6766
Pm Dy Ho Ag
1 1 1 1
Cartesian
0.0000 0.0000 0.6250
1.8112 1.8112 6.7716
1.8112 1.8112 3.1479
0.0000 0.0000 4.9407
```

***

Compound: DyHoAgRh
Source: Alexandria
Functional: PBE
Structure: optimized geometry

Computed properties:
Final energy: -5.4281 eV/atom
Magnetic moment: 0.000 μB/f.u.
Formation enthalpy at 0 K: -582 meV per atom
DOS at the Fermi energy: 0.94 states/eV/atom
Excess energy over the best structure of this formula in the dataset: 21 meV/atom

POSCAR file:
```
DyHoAgRh
1.0
-0.3470 2.6319 -4.2085
-1.0636 -2.2914 -4.2868
-4.4352 0.6797 -2.1507
Rh Ho Ag Dy
1 1 1 1
Cartesian
-4.3844 0.7651 -7.9845
0.0000 0.0000 0.0000
-1.4615 0.2550 -2.6615
-2.9229 0.5101 -5.3230
```

***

Compound: DyHoAgRh
Source: Alexandria
Functional: PBE
Structure: optimized geometry

Computed properties:
Final energy: -5.4488 eV/atom
Magnetic moment: 0.000 μB/f.u.
Formation enthalpy at 0 K: -603 meV per atom
DOS at the Fermi energy: 1.11 states/eV/atom
Excess energy over the best structure of this formula in the dataset: 0 meV/atom

POSCAR file:
```
DyHoAgRh
1.0
-2.4256 2.5234 0.1261
-2.1822 -2.0044 -1.8675
-2.5991 -2.8004 6.0429
Dy Ho Ag Rh
1 1 1 1
Cartesian
-2.1738 -2.3422 5.0541
-0.9804 -1.0563 2.2794
-2.5875 -0.0460 -0.2115
-3.8771 -1.4355 2.7870
```

***

Compound: DyHoAgRu
Source: Alexandria
Functional: PBE
Structure: optimized geometry

Computed properties:
Final energy: -5.7479 eV/atom
Magnetic moment: 0.000 μB/f.u.
Formation enthalpy at 0 K: -421 meV per atom
DOS at the Fermi energy: 0.63 states/eV/atom
Excess energy over the best structure of this formula in the dataset: 0 meV/atom

POSCAR file:
```
DyHoAgRu
1.0
-2.0255 -1.1489 -2.4951
-0.2197 -3.0224 1.5700
-6.0101 2.3977 3.7749
Dy Ho Ag Ru
1 1 1 1
Cartesian
-5.8896 -0.1839 2.5315
-3.2186 -1.2495 0.8539
-0.4396 0.1754 0.2761
-3.4237 1.3659 2.1504
```

***

Compound: DyHoAgRu
Source: Alexandria
Functional: PBE
Structure: optimized geometry

Computed properties:
Final energy: -5.6860 eV/atom
Magnetic moment: 0.000 μB/f.u.
Formation enthalpy at 0 K: -359 meV per atom
DOS at the Fermi energy: 0.59 states/eV/atom
Excess energy over the best structure of this formula in the dataset: 62 meV/atom

POSCAR file:
```
DyHoAgRu
1.0
-0.8180 -4.7833 -0.9694
2.8528 -2.3862 -3.2644
3.2125 -3.4254 1.5604
Ru Ho Ag Dy
1 1 1 1
Cartesian
3.9355 -7.9462 -2.0050
2.6236 -5.2974 -1.3367
1.3118 -2.6487 -0.6683
0.0000 0.0000 0.0000
```

***

Compound: DyHo4AgS8
Source: Alexandria
Functional: PBE
Structure: optimized geometry

Computed properties:
Final energy: -6.0306 eV/atom
Magnetic moment: 0.000 μB/f.u.
DOS at the Fermi energy: 0.00 states/eV/atom
Formation energy without anion corrections: -1.83 eV per atom

POSCAR file:
```
DyHo4AgS8
1.0
-2.8067 3.7955 6.4514
-5.7343 -3.3654 4.4380
1.7095 -2.7565 7.3182
Dy Ho Ag S
1 4 1 8
Cartesian
1.6504 -2.7189 7.2703
-5.1266 -0.0743 7.7188
-1.9428 -3.0126 5.8799
-0.5297 0.4438 6.8517
0.8250 -1.3882 3.7378
-1.7030 -2.2532 10.4901
-3.8493 -3.7237 10.4216
-2.2961 0.0756 11.4898
-0.8070 -1.9382 8.0670
-1.5992 -0.6507 4.6398
-2.9745 1.4032 7.7858
-4.5336 -2.4104 6.7136
-6.0283 -0.3891 10.1493
-5.2392 -1.6712 13.5620
```

***

Compound: DyHo2Ag3Se6
Source: Alexandria
Functional: PBE
Structure: optimized geometry

Computed properties:
Final energy: -4.7650 eV/atom
Magnetic moment: 0.000 μB/f.u.
DOS at the Fermi energy: 0.00 states/eV/atom
Formation energy without anion corrections: -1.16 eV per atom

POSCAR file:
```
DyHo2Ag3Se6
1.0
4.1609 0.0000 0.0000
0.0000 8.0486 0.4738
-2.0804 -2.1436 8.5864
Dy Ho Ag Se
1 2 3 6
Cartesian
2.0804 0.0000 0.0000
2.0805 3.9311 6.0377
0.0000 1.9739 3.0225
2.0804 4.0243 0.2369
2.0804 -0.1026 5.8157
0.0000 6.0076 3.2445
0.0000 5.9120 6.1739
2.0804 3.9524 3.1655
2.0804 -0.0070 2.8864
0.0000 1.9913 0.1470
2.0804 3.9137 8.9132
0.0000 1.9526 5.8947
```

***

Compound: DyHoAg2Se4
Source: Alexandria
Functional: PBE
Structure: optimized geometry

Computed properties:
Final energy: -4.7665 eV/atom
Magnetic moment: 0.000 μB/f.u.
DOS at the Fermi energy: 0.00 states/eV/atom
Formation energy without anion corrections: -1.16 eV per atom

POSCAR file:
```
DyHoAg2Se4
1.0
-0.6082 3.9764 -1.0798
-6.4243 -0.2914 2.5456
-0.0383 1.8848 6.9623
Dy Ho Ag Se
1 1 2 4
Cartesian
-3.2312 0.7967 4.7540
-3.5163 1.8425 0.7329
-0.0383 1.8848 6.9623
-0.3233 2.9306 2.9413
-4.8114 1.2011 7.1334
-2.2594 4.3687 1.2948
-5.0988 2.2433 3.1001
-1.9719 3.3265 5.3281
```

***

Compound: DyHoSiAg
Source: Alexandria
Functional: PBE
Structure: optimized geometry

Computed properties:
Final energy: -4.8063 eV/atom
Magnetic moment: 0.000 μB/f.u.
DOS at the Fermi energy: 0.83 states/eV/atom
Formation energy without anion corrections: -0.44 eV per atom

POSCAR file:
```
DyHoSiAg
1.0
5.0345 0.0000 0.0000
2.5172 4.3600 0.0000
2.5172 1.4533 4.1106
Si Ho Ag Dy
1 1 1 1
Cartesian
2.5172 1.4533 1.0277
5.0345 2.9067 2.0553
7.5517 4.3600 3.0830
0.0000 0.0000 0.0000
```

***

Compound: DyHoAg2Te4
Source: Alexandria
Functional: PBE
Structure: optimized geometry

Computed properties:
Final energy: -4.2593 eV/atom
Magnetic moment: 0.000 μB/f.u.
Formation energy without anion corrections: -0.83 eV per atom

POSCAR file:
```
DyHoAg2Te4
1.0
4.4004 0.0000 0.0000
0.0000 7.6145 0.1364
0.0000 -2.6456 6.9600
Dy Ho Ag Te
1 1 2 4
Cartesian
2.2002 3.8073 0.0682
0.0000 0.0000 0.0000
2.2002 -1.3228 3.4800
0.0000 2.4844 3.5482
2.2002 1.2300 1.7953
2.2002 3.7388 5.3012
0.0000 -0.0808 5.2305
0.0000 5.0497 1.8659
```